No. 1
Computed, not measured: an optimized crystal structure of CuP2Br at the PBE level of DFT.

```
data_CuP2Br
_symmetry_space_group_name_H-M 'I m m 2'
_symmetry_Int_Tables_number 44
_symmetry_space_group_name_Hall 'I 2 -2'
_cell_length_a 3.3834
_cell_length_b 3.6956
_cell_length_c 12.2557
_cell_angle_alpha 90.00
_cell_angle_beta 90.00
_cell_angle_gamma 90.00
loop_
_atom_site_label
_atom_site_fract_x
_atom_site_fract_y
_atom_site_fract_z
Cu1 0.0000 0.0000 0.0000
P1 0.0000 0.0000 0.4856
P2 0.0000 0.5000 0.8639
Br1 0.0000 0.5000 0.1944
```

Results
Formation energy from raw total energies = 63 kJ/mol of formula units
DOS(E_F) = 0.568 states/eV/atom
ΔE to the lowest computed polymorph = 215 meV per atom
Magnetization = 0.00 μB/cell

=====

No. 2
Computed, not measured: an optimized crystal structure of CuP2Br at the PBE level of DFT.

```
data_CuP2Br
_symmetry_space_group_name_H-M 'P 4/m m m'
_symmetry_Int_Tables_number 123
_symmetry_space_group_name_Hall '-P 4 2'
_cell_length_a 3.4310
_cell_length_b 3.4310
_cell_length_c 7.8316
_cell_angle_alpha 90.00
_cell_angle_beta 90.00
_cell_angle_gamma 90.00
loop_
_atom_site_label
_atom_site_fract_x
_atom_site_fract_y
_atom_site_fract_z
Cu1 0.0000 0.0000 0.0000
P1 0.0000 0.5000 0.5000
Br1 0.5000 0.5000 0.0000
```

Results
Formation energy from raw total energies = 136 kJ/mol of formula units
DOS(E_F) = 0.443 states/eV/atom
ΔE to the lowest computed polymorph = 405 meV per atom
Magnetization = 0.00 μB/cell

=====

No. 3
Computed, not measured: an optimized crystal structure of CuP2Br at the PBE level of DFT.

```
data_CuP2Br
_symmetry_space_group_name_H-M 'P 1 m 1'
_symmetry_Int_Tables_number 6
_symmetry_space_group_name_Hall 'P -2y'
_cell_length_a 4.2126
_cell_length_b 3.2996
_cell_length_c 6.8817
_cell_angle_alpha 90.00
_cell_angle_beta 105.19
_cell_angle_gamma 90.00
loop_
_atom_site_label
_atom_site_fract_x
_atom_site_fract_y
_atom_site_fract_z
Cu1 0.0000 0.0000 0.0000
P1 0.3623 0.5000 0.2808
P2 0.5659 0.0000 0.1457
Br1 0.8857 0.5000 0.7223
```

Results
Formation energy from raw total energies = -20 kJ/mol of formula units
DOS(E_F) = 0.251 states/eV/atom
ΔE to the lowest computed polymorph = 0 meV per atom
Magnetization = 0.00 μB/cell

=====

No. 4
Computed, not measured: an optimized crystal structure of CuP2Br at the PBE level of DFT.

```
data_CuP2Br
_symmetry_space_group_name_H-M 'C 1 2/m 1'
_symmetry_Int_Tables_number 12
_symmetry_space_group_name_Hall '-C 2y'
_cell_length_a 11.8686
_cell_length_b 3.3761
_cell_length_c 4.2490
_cell_angle_alpha 90.00
_cell_angle_beta 90.36
_cell_angle_gamma 90.00
loop_
_atom_site_label
_atom_site_fract_x
_atom_site_fract_y
_atom_site_fract_z
Cu1 0.0000 0.0000 0.0000
P1 0.1952 0.0000 0.0095
Br1 0.0000 0.5000 0.5000
```

Results
Formation energy from raw total energies = 17 kJ/mol of formula units
DOS(E_F) = 0.482 states/eV/atom
ΔE to the lowest computed polymorph = 95 meV per atom
Magnetization = 0.00 μB/cell

=====

No. 5
Computed, not measured: an optimized crystal structure of CuP2Br at the PBE level of DFT.

```
data_CuP2Br
_symmetry_space_group_name_H-M 'I -4 m 2'
_symmetry_Int_Tables_number 119
_symmetry_space_group_name_Hall 'I -4 -2'
_cell_length_a 4.5587
_cell_length_b 4.5587
_cell_length_c 6.4659
_cell_angle_alpha 90.00
_cell_angle_beta 90.00
_cell_angle_gamma 90.00
loop_
_atom_site_label
_atom_site_fract_x
_atom_site_fract_y
_atom_site_fract_z
Cu1 0.0000 0.0000 0.0000
P1 0.0000 0.0000 0.5000
P2 0.0000 0.5000 0.7500
Br1 0.0000 0.5000 0.2500
```

Results
Formation energy from raw total energies = 317 kJ/mol of formula units
DOS(E_F) = 0.751 states/eV/atom
ΔE to the lowest computed polymorph = 873 meV per atom
Magnetization = 0.00 μB/cell

=====

No. 6
Computed, not measured: an optimized crystal structure of Cu3PBr at the PBE level of DFT.

```
data_Cu3PBr
_symmetry_space_group_name_H-M 'P m -3 m'
_symmetry_Int_Tables_number 221
_symmetry_space_group_name_Hall '-P 4 2 3'
_cell_length_a 4.4869
_cell_length_b 4.4869
_cell_length_c 4.4869
_cell_angle_alpha 90.00
_cell_angle_beta 90.00
_cell_angle_gamma 90.00
loop_
_atom_site_label
_atom_site_fract_x
_atom_site_fract_y
_atom_site_fract_z
Cu1 0.0000 0.0000 0.5000
P1 0.0000 0.0000 0.0000
Br1 0.5000 0.5000 0.5000
```

Results
Formation energy from raw total energies = 85 kJ/mol of formula units
DOS(E_F) = 1.136 states/eV/atom
ΔE to the lowest computed polymorph = 0 meV per atom
Magnetization = 0.00 μB/cell

=====

No. 7
Computed, not measured: an optimized crystal structure of CuP2Br at the PBE level of DFT.

```
data_CuP2Br
_symmetry_space_group_name_H-M 'C m m 2'
_symmetry_Int_Tables_number 35
_symmetry_space_group_name_Hall 'C 2 -2'
_cell_length_a 3.2208
_cell_length_b 8.1494
_cell_length_c 8.8632
_cell_angle_alpha 90.00
_cell_angle_beta 90.00
_cell_angle_gamma 90.00
loop_
_atom_site_label
_atom_site_fract_x
_atom_site_fract_y
_atom_site_fract_z
Cu1 0.0000 0.0000 0.0000
P1 0.0000 0.0000 0.6251
P2 0.0000 0.5000 0.7835
Br1 0.0000 0.5000 0.2017
```

Results
Formation energy from raw total energies = 91 kJ/mol of formula units
DOS(E_F) = 0.873 states/eV/atom
ΔE to the lowest computed polymorph = 289 meV per atom
Magnetization = 0.00 μB/cell

=====

No. 8
Computed, not measured: an optimized crystal structure of CuP2Br at the PBE level of DFT.

```
data_CuP2Br
_symmetry_space_group_name_H-M 'P 4/m m m'
_symmetry_Int_Tables_number 123
_symmetry_space_group_name_Hall '-P 4 2'
_cell_length_a 3.1714
_cell_length_b 3.1714
_cell_length_c 8.7824
_cell_angle_alpha 90.00
_cell_angle_beta 90.00
_cell_angle_gamma 90.00
loop_
_atom_site_label
_atom_site_fract_x
_atom_site_fract_y
_atom_site_fract_z
Cu1 0.0000 0.0000 0.0000
P1 0.5000 0.5000 0.1231
Br1 0.0000 0.0000 0.5000
```

Results
Formation energy from raw total energies = 134 kJ/mol of formula units
DOS(E_F) = 0.620 states/eV/atom
ΔE to the lowest computed polymorph = 401 meV per atom
Magnetization = 0.00 μB/cell

=====

No. 9
Computed, not measured: an optimized crystal structure of CuP2Br at the PBE level of DFT.

```
data_CuP2Br
_symmetry_space_group_name_H-M 'P 4/m m m'
_symmetry_Int_Tables_number 123
_symmetry_space_group_name_Hall '-P 4 2'
_cell_length_a 2.6978
_cell_length_b 2.6978
_cell_length_c 11.7878
_cell_angle_alpha 90.00
_cell_angle_beta 90.00
_cell_angle_gamma 90.00
loop_
_atom_site_label
_atom_site_fract_x
_atom_site_fract_y
_atom_site_fract_z
Cu1 0.0000 0.0000 0.0000
P1 0.5000 0.5000 0.1485
Br1 0.0000 0.0000 0.5000
```

Results
Formation energy from raw total energies = 162 kJ/mol of formula units
DOS(E_F) = 0.311 states/eV/atom
ΔE to the lowest computed polymorph = 472 meV per atom
Magnetization = 0.00 μB/cell

=====

No. 10
Computed, not measured: an optimized crystal structure of CuP2Br at the PBE level of DFT.

```
data_CuP2Br
_symmetry_space_group_name_H-M 'I 4/m m m'
_symmetry_Int_Tables_number 139
_symmetry_space_group_name_Hall '-I 4 2'
_cell_length_a 3.4106
_cell_length_b 3.4106
_cell_length_c 16.0794
_cell_angle_alpha 90.00
_cell_angle_beta 90.00
_cell_angle_gamma 90.00
loop_
_atom_site_label
_atom_site_fract_x
_atom_site_fract_y
_atom_site_fract_z
Cu1 0.0000 0.0000 0.0000
P1 0.0000 0.5000 0.2500
Br1 0.0000 0.0000 0.5000
```

Results
Formation energy from raw total energies = 136 kJ/mol of formula units
DOS(E_F) = 0.586 states/eV/atom
ΔE to the lowest computed polymorph = 404 meV per atom
Magnetization = 0.00 μB/cell

=====

No. 11
Computed, not measured: an optimized crystal structure of CuP2Br at the PBE level of DFT.

```
data_CuP2Br
_symmetry_space_group_name_H-M 'C 1 m 1'
_symmetry_Int_Tables_number 8
_symmetry_space_group_name_Hall 'C -2y'
_cell_length_a 7.4684
_cell_length_b 3.3558
_cell_length_c 6.9663
_cell_angle_alpha 90.00
_cell_angle_beta 96.91
_cell_angle_gamma 90.00
loop_
_atom_site_label
_atom_site_fract_x
_atom_site_fract_y
_atom_site_fract_z
Cu1 0.0000 0.0000 0.0000
P1 0.3549 0.0000 0.7743
P2 0.4924 0.5000 0.6423
Br1 0.2104 0.5000 0.1855
```

Results
Formation energy from raw total energies = 11 kJ/mol of formula units
DOS(E_F) = 0.108 states/eV/atom
ΔE to the lowest computed polymorph = 80 meV per atom
Magnetization = 0.00 μB/cell

=====

No. 12
Computed, not measured: an optimized crystal structure of CuPBr at the PBE level of DFT.

```
data_CuPBr
_symmetry_space_group_name_H-M 'P 3 m 1'
_symmetry_Int_Tables_number 156
_symmetry_space_group_name_Hall 'P 3 -2"'
_cell_length_a 3.5681
_cell_length_b 3.5681
_cell_length_c 5.0915
_cell_angle_alpha 90.00
_cell_angle_beta 90.00
_cell_angle_gamma 120.00
loop_
_atom_site_label
_atom_site_fract_x
_atom_site_fract_y
_atom_site_fract_z
Cu1 0.0000 0.0000 0.0000
P1 0.6667 0.3333 0.2224
Br1 0.3333 0.6667 0.6678
```

Results
Formation energy from raw total energies = 81 kJ/mol of formula units
DOS(E_F) = 0.677 states/eV/atom
ΔE to the lowest computed polymorph = 150 meV per atom
Magnetization = 0.00 μB/cell

=====

Question: The lowest formation energy from raw total energies belongs to which entry?
Answer: number 3